#A
Below is a relaxed structure of NbSnNO, with properties calculated at the PBE level. Values from VASP.

Quantum ESPRESSO input file:
```
&SYSTEM
  ibrav = 0, nat = 8, ntyp = 4
/
ATOMIC_SPECIES
N 14.01 N.upf
Nb 92.91 Nb.upf
O 16.00 O.upf
Sn 118.71 Sn.upf
ATOMIC_POSITIONS angstrom
N 0.0000 2.0925 2.2637
N 2.0925 0.0000 6.1966
Nb 0.0000 2.0925 0.4949
Nb 2.0925 0.0000 7.9654
O 0.0000 0.0000 0.0000
O 2.0925 2.0925 0.0000
Sn 0.0000 0.0000 4.2301
Sn 2.0925 2.0925 4.2301
CELL_PARAMETERS angstrom
4.1850 0.0000 0.0000
0.0000 4.1850 0.0000
0.0000 0.0000 8.4602
```

Values from the calculation:
calculated volume: 74.1 Å³/f.u.
magnetization: 0.0006 μB per atom
space group: No. 129


#B
Below is a relaxed structure of NbSnNO, with properties calculated at the PBE level. Values from VASP.

Quantum ESPRESSO input file:
```
&SYSTEM
  ibrav = 0, nat = 8, ntyp = 4
/
ATOMIC_SPECIES
N 14.01 N.upf
Nb 92.91 Nb.upf
O 16.00 O.upf
Sn 118.71 Sn.upf
ATOMIC_POSITIONS angstrom
N 2.7299 -1.9006 1.9626
N 2.4666 0.0358 4.3897
Nb 3.1508 0.1120 2.4029
Nb 2.0456 -1.9768 3.9495
O 0.0000 0.0000 0.0000
O -1.1052 -2.0888 1.5466
Sn -0.3255 -0.0634 2.2604
Sn 5.5220 -1.8013 4.0919
CELL_PARAMETERS angstrom
-2.4150 -0.1896 3.1756
0.2046 -3.9880 -0.0824
6.3017 0.2240 4.8058
```

Values from the calculation:
calculated volume: 63.2 Å³/f.u.
magnetization: 0.0021 μB per atom
space group: No. 129


Tell me which of them is the least stable. Sure, it is #A.


#A
Below is a relaxed structure of YNbNO, with properties calculated at the PBE level. Values from VASP.

Quantum ESPRESSO input file:
```
&SYSTEM
  ibrav = 0, nat = 16, ntyp = 4
/
ATOMIC_SPECIES
N 14.01 N.upf
Nb 92.91 Nb.upf
O 16.00 O.upf
Y 88.91 Y.upf
ATOMIC_POSITIONS angstrom
N -0.7809 0.7884 2.4431
N -1.7685 -1.8832 1.4223
N -0.3538 -4.0580 7.6785
N -1.3414 -6.7296 6.6577
Nb -0.3798 -0.5236 0.6870
Nb -2.6396 -0.1386 2.5014
Nb 0.5172 -5.8025 6.5995
Nb -1.7426 -5.4175 8.4139
O -2.3253 -2.3498 4.9615
O -3.1782 -4.9265 3.9078
O 1.0502 -1.0025 5.2048
O 0.1974 -3.5793 4.1510
Y -1.7181 -3.4150 3.0499
Y -4.3805 -3.3135 4.9627
Y 2.2524 -2.6152 4.1502
Y -0.4101 -2.5136 6.0630
CELL_PARAMETERS angstrom
-1.3926 2.9718 2.8646
-5.4834 -3.8610 1.3399
4.1954 -3.8606 6.0447
```

Values from the calculation:
calculated volume: 61.9 Å³/f.u.
magnetization: 0.0004 μB per atom
space group: No. 29


#B
Below is a relaxed structure of YNbNO, with properties calculated at the PBE level. Values from VASP.

Quantum ESPRESSO input file:
```
&SYSTEM
  ibrav = 0, nat = 8, ntyp = 4
/
ATOMIC_SPECIES
N 14.01 N.upf
Nb 92.91 Nb.upf
O 16.00 O.upf
Y 88.91 Y.upf
ATOMIC_POSITIONS angstrom
N -3.4257 -1.3776 0.5757
N -2.4328 2.0277 4.9425
Nb -1.8101 0.0782 3.9757
Nb -4.0485 0.5719 1.5425
O -1.7761 1.1377 1.8632
O -4.0824 -0.4876 3.6550
Y -1.1531 -0.8127 0.8959
Y -3.4594 -2.4380 2.6878
CELL_PARAMETERS angstrom
-4.5442 -1.1331 -0.6420
-0.0684 -2.1175 4.2258
-1.2460 3.9007 1.9345
```

Values from the calculation:
calculated volume: 50.6 Å³/f.u.
magnetization: 0.0046 μB per atom
space group: No. 123


Tell me which of them is the least stable. Sure, it is #B.


#A
Below is a relaxed structure of YNbNO, with properties calculated at the PBE level. Values from VASP.

Quantum ESPRESSO input file:
```
&SYSTEM
  ibrav = 0, nat = 8, ntyp = 4
/
ATOMIC_SPECIES
N 14.01 N.upf
Nb 92.91 Nb.upf
O 16.00 O.upf
Y 88.91 Y.upf
ATOMIC_POSITIONS angstrom
N 2.5752 -0.8508 2.6803
N 0.6047 -0.1739 5.0909
Nb 1.6317 0.8547 3.5359
Nb 1.5482 -1.8794 4.2353
O 0.0000 0.0000 0.0000
O -0.0835 -2.7342 0.6995
Y -0.9054 -0.9650 1.8185
Y 4.0853 -0.0597 5.9527
CELL_PARAMETERS angstrom
-2.6583 -2.3739 1.8006
2.4914 -3.0945 -0.4016
3.2634 1.7095 7.0717
```

Values from the calculation:
calculated volume: 63.6 Å³/f.u.
magnetization: 0.0009 μB per atom
space group: No. 129


#B
Below is a relaxed structure of YNbNO, with properties calculated at the PBE level. Values from VASP.

Quantum ESPRESSO input file:
```
&SYSTEM
  ibrav = 0, nat = 8, ntyp = 4
/
ATOMIC_SPECIES
N 14.01 N.upf
Nb 92.91 Nb.upf
O 16.00 O.upf
Y 88.91 Y.upf
ATOMIC_POSITIONS angstrom
N 0.0000 5.1771 2.3698
N 0.0000 2.1207 3.7503
Nb 0.0000 3.2460 2.0707
Nb 0.0000 0.1896 4.0495
O 1.6659 2.2428 0.9694
O 1.6659 5.2991 5.1507
Y 1.6659 0.0557 1.0851
Y 1.6659 3.1121 5.0351
CELL_PARAMETERS angstrom
3.3319 0.0000 0.0000
0.0000 6.1127 0.0000
0.0000 0.0000 6.1202
```

Values from the calculation:
calculated volume: 62.3 Å³/f.u.
magnetization: 0.0050 μB per atom
space group: No. 26


#C
Below is a relaxed structure of YNbNO, with properties calculated at the PBE level. Values from VASP.

Quantum ESPRESSO input file:
```
&SYSTEM
  ibrav = 0, nat = 8, ntyp = 4
/
ATOMIC_SPECIES
N 14.01 N.upf
Nb 92.91 Nb.upf
O 16.00 O.upf
Y 88.91 Y.upf
ATOMIC_POSITIONS angstrom
N -1.7546 -4.7462 2.1483
N 0.2570 -2.7778 0.3451
Nb -1.0029 -0.9884 0.9003
Nb -0.4947 -6.5356 1.5931
O -1.0517 -1.7173 3.1482
O -2.9649 -2.2288 0.4555
Y 0.2078 -3.5062 2.5931
Y -1.7054 -4.0177 -0.0996
CELL_PARAMETERS angstrom
-0.0950 -1.4615 4.4945
-3.9216 -2.4846 -0.8909
2.5190 -3.5778 -1.1102
```

Values from the calculation:
calculated volume: 50.4 Å³/f.u.
magnetization: 0.0009 μB per atom
space group: No. 129


#D
Below is a relaxed structure of YNbNO, with properties calculated at the PBE level. Values from VASP.

Quantum ESPRESSO input file:
```
&SYSTEM
  ibrav = 0, nat = 8, ntyp = 4
/
ATOMIC_SPECIES
N 14.01 N.upf
Nb 92.91 Nb.upf
O 16.00 O.upf
Y 88.91 Y.upf
ATOMIC_POSITIONS angstrom
N -1.5172 0.8760 5.4276
N -3.6683 2.1179 2.5124
Nb -1.4274 -1.1743 5.6311
Nb -5.4889 1.1706 2.7159
O -2.0498 -0.8150 1.8728
O -4.8664 0.8112 4.7880
Y -1.7268 0.9970 3.1255
Y -3.4587 1.9969 0.2103
CELL_PARAMETERS angstrom
-1.7307 -2.9976 0.0000
0.0000 0.0000 5.8304
-5.1856 2.9939 0.0000
```

Values from the calculation:
calculated volume: 60.4 Å³/f.u.
magnetization: 0.0001 μB per atom
space group: No. 26


Tell me which of them is the least stable. Sure, it is #B.


#A
Below is a relaxed structure of ZrNbNO, with properties calculated at the PBE level. Values from VASP.

Quantum ESPRESSO input file:
```
&SYSTEM
  ibrav = 0, nat = 8, ntyp = 4
/
ATOMIC_SPECIES
N 14.01 N.upf
Nb 92.91 Nb.upf
O 16.00 O.upf
Zr 91.22 Zr.upf
ATOMIC_POSITIONS angstrom
N 0.0765 -3.9409 2.2081
N -0.8656 -1.5694 5.1649
Nb -1.6387 -2.9251 3.4264
Nb 0.8496 -2.5852 3.9466
O -0.8821 -2.7079 -0.3339
O 1.6062 -2.3681 0.1864
Zr -0.0535 -1.3363 1.1286
Zr -0.7356 -4.1740 6.2445
CELL_PARAMETERS angstrom
-2.1263 -2.8778 -0.5940
2.8503 -2.1981 0.4465
-1.5131 -0.4344 7.5205
```

Values from the calculation:
calculated volume: 50.5 Å³/f.u.
magnetization: 0.0003 μB per atom
space group: No. 129


#B
Below is a relaxed structure of ZrNbNO, with properties calculated at the PBE level. Values from VASP.

Quantum ESPRESSO input file:
```
&SYSTEM
  ibrav = 0, nat = 8, ntyp = 4
/
ATOMIC_SPECIES
N 14.01 N.upf
Nb 92.91 Nb.upf
O 16.00 O.upf
Zr 91.22 Zr.upf
ATOMIC_POSITIONS angstrom
N -1.6652 0.9614 5.1874
N -3.4592 1.9972 2.3674
Nb -1.3368 -1.1295 5.4221
Nb -5.4342 1.2361 2.6022
O -2.0415 -0.7226 1.8246
O -4.7294 0.8292 4.6446
Zr -1.7060 0.9849 3.0981
Zr -3.4184 1.9736 0.2781
CELL_PARAMETERS angstrom
-1.6466 -2.8520 0.0000
0.0000 0.0000 5.6399
-5.1244 2.9585 0.0000
```

Values from the calculation:
calculated volume: 54.9 Å³/f.u.
magnetization: 0.0002 μB per atom
space group: No. 26


Tell me which of them is the least stable. Sure, it is #A.